1 | Cs2Cd2Sb | PBE | relaxed

SG: I4/mmm
M_tot: 0.0 μB/f.u.

Unit cell a=6.8818 b=6.8818 c=6.8818 alpha=113.84 beta=113.84 gamma=101.05
Fractional coordinates of all 5 atoms:
Cs1 0.2500 0.7500 0.5000
Cs2 0.7500 0.2500 0.5000
Cd1 0.1693 0.1693 0.0000
Cd2 0.8307 0.8307 0.0000
Sb1 0.5000 0.5000 0.0000

2 | Cs2Cd2Sb | PBE | relaxed

SG: I4/mmm
M_tot: 0.0 μB/f.u.

Unit cell a=12.8783 b=12.8783 c=12.8783 alpha=161.43 beta=161.43 gamma=26.38
Fractional coordinates of all 5 atoms:
Cs1 0.1006 0.1006 0.0000
Cs2 0.8994 0.8994 0.0000
Cd1 0.2500 0.7500 0.5000
Cd2 0.7500 0.2500 0.5000
Sb1 0.5000 0.5000 0.0000

3 | Cs2Cd2Sb | PBE | relaxed

SG: P4/mbm
M_tot: 0.0 μB/f.u.

Unit cell a=8.0962 b=8.0962 c=6.0959 alpha=90.00 beta=90.00 gamma=90.00
Fractional coordinates of all 10 atoms:
Cs1 0.1869 0.3131 0.0000
Cs2 0.3131 0.8131 0.0000
Cs3 0.6869 0.1869 0.0000
Cs4 0.8131 0.6869 0.0000
Cd1 0.1293 0.6293 0.5000
Cd2 0.3707 0.1293 0.5000
Cd3 0.6293 0.8707 0.5000
Cd4 0.8707 0.3707 0.5000
Sb1 0.0000 0.0000 0.5000
Sb2 0.5000 0.5000 0.5000

Which structure loses on stability? 2 does.

1 | Cs2CdSb2 | PBE | relaxed

SG: P4/mbm
M_tot: 0.0 μB/f.u.

Unit cell a=11.1590 b=11.1590 c=3.6676 alpha=90.00 beta=90.00 gamma=90.00
Fractional coordinates of all 10 atoms:
Cs1 0.2011 0.2989 0.0000
Cs2 0.2989 0.7989 0.0000
Cs3 0.7011 0.2011 0.0000
Cs4 0.7989 0.7011 0.0000
Cd1 0.0000 0.0000 0.0000
Cd2 0.5000 0.5000 0.0000
Sb1 0.0886 0.5886 0.5000
Sb2 0.4114 0.0886 0.5000
Sb3 0.5886 0.9114 0.5000
Sb4 0.9114 0.4114 0.5000

2 | Cs2CdSb2 | PBE | relaxed

SG: C2/m
M_tot: 0.0 μB/f.u.

Unit cell a=7.7112 b=7.7112 c=12.8255 alpha=112.25 beta=112.25 gamma=39.67
Fractional coordinates of all 10 atoms:
Cs1 0.1234 0.1234 0.4157
Cs2 0.2826 0.2826 0.8447
Cs3 0.7174 0.7174 0.1553
Cs4 0.8766 0.8766 0.5843
Cd1 0.4581 0.4581 0.1931
Cd2 0.5419 0.5419 0.8069
Sb1 0.0430 0.0430 0.9145
Sb2 0.4122 0.4122 0.3926
Sb3 0.5878 0.5878 0.6074
Sb4 0.9570 0.9570 0.0855

Which structure loses on stability? 1 does.

1 | CsCdSe | PBE | relaxed

SG: C2/m
M_tot: 0.0 μB/f.u.

Unit cell a=7.6421 b=7.6421 c=10.3391 alpha=132.40 beta=132.40 gamma=33.06
Fractional coordinates of all 6 atoms:
Cs1 0.2006 0.2006 0.1999
Cs2 0.7994 0.7994 0.8001
Cd1 0.0004 0.0004 0.3664
Cd2 0.9996 0.9996 0.6336
Se1 0.5003 0.5003 0.2137
Se2 0.4997 0.4997 0.7863

2 | CsCdSe | PBE | relaxed

SG: Cm
M_tot: 0.0 μB/f.u.

Unit cell a=5.2364 b=5.2364 c=5.3992 alpha=90.11 beta=90.11 gamma=90.03
Fractional coordinates of all 3 atoms:
Cs1 0.0000 0.0000 0.0000
Cd1 0.5003 0.5003 0.4964
Se1 0.5003 0.5003 0.9962

3 | CsCdSe | PBE | relaxed

SG: C2/m
M_tot: 0.0 μB/f.u.

Unit cell a=8.6912 b=8.6912 c=4.7866 alpha=91.12 beta=91.12 gamma=40.18
Fractional coordinates of all 6 atoms:
Cs1 0.1735 0.1735 0.0140
Cs2 0.8265 0.8265 0.9860
Cd1 0.2323 0.7677 0.5000
Cd2 0.7677 0.2323 0.5000
Se1 0.3665 0.3665 0.4995
Se2 0.6335 0.6335 0.5005

4 | CsCdSe | PBE | relaxed

SG: Cm
M_tot: 0.0 μB/f.u.

Unit cell a=7.0472 b=7.0472 c=10.0597 alpha=127.49 beta=127.49 gamma=36.38
Fractional coordinates of all 6 atoms:
Cs1 0.0000 0.0000 0.0000
Cs2 0.1017 0.1017 0.6621
Cd1 0.2839 0.2839 0.4398
Cd2 0.3731 0.3731 0.2448
Se1 0.6366 0.6366 0.4088
Se2 0.7478 0.7478 0.0344

Which structure loses on stability? 2 does.

1 | CsCdSe | PBE | relaxed

SG: Pnma
M_tot: 0.0 μB/f.u.

Unit cell a=7.8526 b=4.7083 c=13.4850 alpha=90.00 beta=90.00 gamma=90.00
Fractional coordinates of all 12 atoms:
Cs1 0.1209 0.2500 0.1455
Cs2 0.3791 0.7500 0.6455
Cs3 0.6209 0.2500 0.3545
Cs4 0.8791 0.7500 0.8545
Cd1 0.0546 0.7500 0.3917
Cd2 0.4454 0.2500 0.8917
Cd3 0.5546 0.7500 0.1083
Cd4 0.9454 0.2500 0.6083
Se1 0.1995 0.2500 0.4649
Se2 0.3005 0.7500 0.9649
Se3 0.6995 0.2500 0.0351
Se4 0.8005 0.7500 0.5351

2 | CsCdSe | PBE | relaxed

SG: Cm
M_tot: 0.0 μB/f.u.

Unit cell a=6.6407 b=6.6407 c=7.3079 alpha=103.74 beta=103.74 gamma=47.54
Fractional coordinates of all 6 atoms:
Cs1 0.0000 0.0000 0.0000
Cs2 0.7152 0.7152 0.3272
Cd1 0.2791 0.2791 0.8128
Cd2 0.4415 0.4415 0.5949
Se1 0.3892 0.3892 0.2176
Se2 0.6628 0.6628 0.7939

3 | CsCdSe | PBE | relaxed

SG: P-1
M_tot: 0.0 μB/f.u.

Unit cell a=4.5153 b=6.4071 c=8.0374 alpha=92.51 beta=106.19 gamma=110.62
Fractional coordinates of all 6 atoms:
Cs1 0.2164 0.2819 0.1481
Cs2 0.7836 0.7181 0.8519
Cd1 0.0909 0.7255 0.4555
Cd2 0.9091 0.2745 0.5445
Se1 0.4220 0.1257 0.7202
Se2 0.5780 0.8743 0.2798

4 | CsCdSe | PBE | relaxed

SG: C2
M_tot: 0.0 μB/f.u.

Unit cell a=6.7814 b=6.7814 c=7.0288 alpha=101.98 beta=101.98 gamma=59.95
Fractional coordinates of all 6 atoms:
Cs1 0.1209 0.1209 0.3023
Cs2 0.8791 0.8791 0.6977
Cd1 0.3661 0.3970 0.0022
Cd2 0.6030 0.6339 0.9978
Se1 0.3315 0.0270 0.8212
Se2 0.9730 0.6685 0.1788

Which structure loses on stability? 1 does.